(1)
Entry from the Alexandria database: TlSbPt3 after structural relaxation (PBE-GGA).

Cell: 5.0270 5.0270 5.0270 Å, 90.00 90.00 90.00°
Closest atoms and distances in Å follow each position.
Space group Pm-3m (No. 221)
Unique sites:
Tl 0.0000 0.0000 0.0000 x1  6 Pt 2.51
Sb 0.5000 0.5000 0.5000 x1  12 Pt 3.55
Pt 0.0000 0.0000 0.5000 x3  2 Tl 2.51

Properties
Size of the total moment (μB/f.u.): 0.00
Crystal system: cubic
Theoretical density (g/cm³): 11.913
Formation energy (no corrections) (eV per atom): 1.076
Energy above the lowest structure with this stoichiometry (meV/atom): 551



(2)
Entry from the Alexandria database: TaSbSe3 after structural relaxation (PBE-GGA).

Cell: 5.0384 5.0384 5.0384 Å, 90.00 90.00 90.00°
Closest atoms and distances in Å follow each position.
Space group Pm-3m (No. 221)
Unique sites:
Ta 0.0000 0.0000 0.0000 x1  6 Se 2.52
Sb 0.5000 0.5000 0.5000 x1  12 Se 3.56
Se 0.0000 0.0000 0.5000 x3  2 Ta 2.52

Properties
Size of the total moment (μB/f.u.): 0.00
Crystal system: cubic
Theoretical density (g/cm³): 7.005
Formation energy (no corrections) (eV per atom): 0.040
Energy above the lowest structure with this stoichiometry (meV/atom): 0



(3)
Entry from the Alexandria database: La3Pm4Sm after structural relaxation (PBE-GGA).

Cell: 11.9165 7.4317 6.4432 Å, 90.00 90.00 90.00°
Closest atoms and distances in Å follow each position.
Space group Pmn2_1 (No. 31)
Unique sites:
La 0.0000 0.1253 0.0000 x2  4 La 3.66-3.68, 6 Pm 3.69-3.74, 2 Sm 3.70-3.73
La 0.2501 0.1253 0.3298 x4  4 La 3.66-3.72, 7 Pm 3.66-3.73, 1 Sm 3.68
Pm 0.0000 0.3760 0.4993 x2  6 Pm 3.66-3.75, 4 La 3.68-3.73, 2 Sm 3.71
Pm 0.0000 0.8712 0.4992 x2  4 Pm 3.66-3.75, 6 La 3.66-3.74, 2 Sm 3.71
Pm 0.2491 0.6233 0.3302 x4  2 Sm 3.65-3.67, 5 Pm 3.66-3.71, 5 La 3.69-3.73
Sm 0.0000 0.6235 0.9994 x2  8 Pm 3.65-3.71, 4 La 3.68-3.73

Properties
Size of the total moment (μB/f.u.): 0.00
Crystal system: orthorhombic
Energy relative to the elements (eV/f.u.): 0.285
Theoretical density (g/cm³): 6.676
Energy above the lowest structure with this stoichiometry (meV/atom): 0



(4)
Entry from the Alexandria database: CaEr2Sc after structural relaxation (PBE-GGA).

Cell: 4.9886 4.9886 4.9346 Å, 90.00 90.00 90.00°
Closest atoms and distances in Å follow each position.
Space group P4/mmm (No. 123)
Unique sites:
Ca 0.0000 0.0000 0.0000 x1  8 Er 3.51, 4 Sc 3.53
Er 0.0000 0.5000 0.5000 x2  4 Sc 3.51, 4 Ca 3.51, 4 Er 3.53
Sc 0.5000 0.5000 0.0000 x1  8 Er 3.51, 4 Ca 3.53

Properties
Size of the total moment (μB/f.u.): 0.00
Crystal system: tetragonal
Energy relative to the elements (eV/f.u.): 0.752
Theoretical density (g/cm³): 5.673
Energy above the lowest structure with this stoichiometry (meV/atom): 112